(1)
The following is a DFT calculation (PBE) of Ta2CoAg after structural relaxation.

Values from the calculation:
- energy of formation from the pure elements (eV/atom) = 0.450
- electronic total energy (eV/atom) = -7.959
- M_tot (μB/atom) = 0.492
- volume (Å³ per atom) = 16.24
- ρ (g/cm3) = 13.5

Cell lengths 6.382, 6.382, 6.382 Å; angles 90.00, 90.00, 90.00 degrees
Space group F-43m (No. 216)
One atom of each set of equivalent atoms:
Ta  0.000  0.000  0.000
Ta  0.250  0.250  0.250
Co  0.250  0.250  0.750
Ag  0.000  0.000  0.500

=====

(2)
The following is a DFT calculation (PBE) of TaTlCoAg after structural relaxation.

Values from the calculation:
- electronic total energy (eV/atom) = -5.367
- M_tot (μB/atom) = 0.140
- volume (Å³ per atom) = 17.11
- ρ (g/cm3) = 13.4

Cell lengths 6.493, 6.493, 6.493 Å; angles 90.00, 90.00, 90.00 degrees
Space group F-43m (No. 216)
One atom of each set of equivalent atoms:
Ta  0.000  0.000  0.000
Tl  0.250  0.250  0.250
Co  0.000  0.000  0.500
Ag  0.250  0.250  0.750

=====

(3)
The following is a DFT calculation (PBE) of TaTlCoAg after structural relaxation.

Values from the calculation:
- electronic total energy (eV/atom) = -5.550
- M_tot (μB/atom) = 0.000
- volume (Å³ per atom) = 16.89
- ρ (g/cm3) = 13.6

Cell lengths 6.465, 6.465, 6.465 Å; angles 90.00, 90.00, 90.00 degrees
Space group F-43m (No. 216)
One atom of each set of equivalent atoms:
Ta  0.000  0.000  0.000
Tl  0.000  0.000  0.500
Co  0.250  0.250  0.750
Ag  0.250  0.250  0.250